VASP calculation (PBE) on an optimized crystal structure of PaTaTi2.

## Properties
The polymorph energy (0 for the lowest one) is 0.104 eV/atom.

```
PaTaTi2
1.0
3.002 0.000 0.000
-1.501 2.600 0.000
0.000 0.000 30.333
Pa Ta Ti
3 3 6
Direct
0.000 0.000 0.000 Pa
0.333 0.667 0.667 Pa
0.667 0.333 0.333 Pa
0.000 0.000 0.500 Ta
0.333 0.667 0.167 Ta
0.667 0.333 0.833 Ta
0.000 0.000 0.243 Ti
0.000 0.000 0.757 Ti
0.333 0.667 0.423 Ti
0.333 0.667 0.910 Ti
0.667 0.333 0.090 Ti
0.667 0.333 0.577 Ti
```